# 1
This record from Alexandria via LeMat-Bulk describes crystalline LaPr2DyS4 at its relaxed geometry. The functional is GGA-PBE.

Values from the calculation:
Density of states at the Fermi level = 4.8 states/eV/f.u.
Uncorrected energy = -52.0 eV/cell

Structure (POSCAR):
```
LaPr2DyS4
1.0
7.063 0.000 0.000
0.000 4.031 0.000
-2.309 0.000 6.701
La Pr Dy S
1 2 1 4
Cartesian
0.000 0.000 0.000
2.377 0.000 3.351
3.532 2.016 0.000
-1.154 2.016 3.351
-0.026 0.000 4.933
1.130 2.016 1.729
3.625 2.016 4.973
4.780 0.000 1.769
```


# 2
This record from Alexandria via LeMat-Bulk describes crystalline MgRePb2 at its relaxed geometry. The functional is GGA-PBE.

Values from the calculation:
Energy of formation from the pure elements = 0.57 eV/atom
Density of states at the Fermi level = 3.9 states/eV/f.u.

Structure (POSCAR):
```
MgRePb2
1.0
3.214 0.000 0.000
0.000 3.214 0.000
0.000 0.000 9.112
Mg Re Pb
1 1 2
Cartesian
0.000 0.000 0.000
1.607 1.607 7.507
0.000 0.000 5.591
1.607 1.607 2.394
```


# 3
This record from Alexandria via LeMat-Bulk describes crystalline TmPdF5 at its relaxed geometry. The functional is GGA-PBE.

Values from the calculation:
Uncorrected energy = -38.9 eV/cell

Structure (POSCAR):
```
TmPdF5
1.0
4.289 0.000 0.000
-1.698 5.054 0.000
-0.955 -0.527 5.656
Tm Pd F
1 1 5
Cartesian
0.000 0.000 0.000
-1.327 2.263 2.828
-0.934 1.301 4.535
-0.014 1.097 1.857
2.145 0.000 0.000
1.650 3.429 3.798
2.570 3.225 1.121
```


# 4
This record from Alexandria via LeMat-Bulk describes crystalline NbCdRh at its relaxed geometry. The functional is GGA-PBE.

Values from the calculation:
Energy of formation from the pure elements = -0.29 eV/atom
Density of states at the Fermi level = 1.7 states/eV/f.u.

Structure (POSCAR):
```
NbCdRh
1.0
3.249 0.000 0.000
0.000 3.249 0.000
0.000 0.000 10.126
Nb Cd Rh
2 2 2
Cartesian
0.812 0.812 0.884
2.437 2.437 9.243
0.812 0.812 4.054
2.437 2.437 6.072
0.812 0.812 7.847
2.437 2.437 2.279
```


# 5
This record from Alexandria via LeMat-Bulk describes crystalline LaTbCBr at its relaxed geometry. The functional is GGA-PBE.

Values from the calculation:
Density of states at the Fermi level = 2.2 states/eV/f.u.
Uncorrected energy = -24.1 eV/cell

Structure (POSCAR):
```
LaTbCBr
1.0
1.881 1.086 7.505
-1.881 1.086 7.505
0.000 -2.173 7.505
La Tb C Br
1 1 1 1
Cartesian
0.000 0.000 0.000
0.000 0.000 4.773
0.000 0.000 13.513
0.000 0.000 17.577
```


# 6
This record from Alexandria via LeMat-Bulk describes crystalline Y2CuHg at its relaxed geometry. The functional is GGA-PBE.

Values from the calculation:
Energy of formation from the pure elements = -0.33 eV/atom
Density of states at the Fermi level = 2.7 states/eV/f.u.

Structure (POSCAR):
```
Y2CuHg
1.0
3.761 0.000 0.000
0.000 4.723 0.000
-1.023 0.000 5.459
Y Cu Hg
2 1 1
Cartesian
0.000 0.000 0.000
0.196 2.362 3.052
1.909 2.362 0.629
1.998 0.000 2.440
```